LaAsRh2 | GGA-PBE | relaxed

The structure in POSCAR format:
```
LaAsRh2
1.0
4.716 0.000 0.000
0.000 4.716 0.000
2.358 2.358 8.259
Rh La As
4 2 2
direct
0.269 0.625 0.250
0.481 0.125 0.250
0.375 0.519 0.750
0.875 0.731 0.750
0.750 0.250 0.500
0.000 0.000 0.000
0.250 0.750 0.500
0.500 0.500 0.000
```

Properties
Fermi-level density of states	0.6763	states/eV per atom
space group	No. 122
V	22.96	A^3/atom
total DFT energy (no corrections)	-53.244	eV per cell


LaAsRh3 | GGA-PBE | relaxed

The structure in POSCAR format:
```
LaAsRh3
1.0
-3.739 -0.866 2.626
-2.559 -0.588 -3.838
1.047 -4.531 -0.004
Rh La As
3 1 1
direct
0.500 0.000 0.000
0.000 0.000 0.500
0.000 0.500 0.000
0.500 0.500 0.500
0.000 0.000 0.000
```

Properties
Fermi-level density of states	2.2811	states/eV per atom
energy above the most stable polymorph in this dataset	0	meV/atom
space group	No. 221
V	20.12	A^3/atom
total DFT energy (no corrections)	-33.700	eV per cell